Here is an optimized crystal structure of LiGa4Ni4 from the Alexandria database. Energies are from PBE.

Calculated values
The crystal system is tetragonal. The electronic total energy is -78.829 eV/cell. The value obtained for the formation energy is -0.25 eV/atom.

Unit cell a=5.5317 b=5.5317 c=8.4228 alpha=90.00 beta=90.00 gamma=90.00
Space group P4_2/nmc (No. 137, origin choice 2)
Symmetry-distinct sites (fractional):
Li1 0.2500 0.7500 0.2500 x2
Ga1 0.0188 0.2500 0.0386 x8
Ni1 0.0293 0.2500 0.3315 x8



Here is an optimized crystal structure of Li2Ga4Ni5 from the Alexandria database. Energies are from PBE.

Calculated values
The crystal system is orthorhombic. The electronic total energy is -189.313 eV/cell. The value obtained for the formation energy is -0.23 eV/atom.

Unit cell a=5.0884 b=8.6679 c=15.0558 alpha=90.00 beta=90.00 gamma=90.00
Space group Fmmm (No. 69)
Symmetry-distinct sites (fractional):
Li1 0.0000 0.0000 0.1003 x8
Ga1 0.0000 0.1606 0.3705 x16
Ni1 0.0000 0.0000 0.5000 x4
Ni2 0.2500 0.2500 0.0000 x8
Ni3 0.2500 0.2500 0.2500 x8



Going through the records in order, we get total magnetic moment values of 0.0 0.0 Bohr magnetons per cell.